No. 1
Below is a relaxed CsVS2 crystal, with properties calculated at the PBE level.

Lattice parameters (Å, degrees): 7.2181 9.4616 7.3294 90.00 90.00 90.00
Last column: nearest neighbours and their distance in Å.
Fractional positions:
V 0.0634 0.8722 0.0000  4 S 2.24-2.28
S 0.0000 0.0001 0.7500  2 V 2.24
S 0.5000 0.4999 0.7500  2 V 2.24
S 0.8717 0.6816 0.9999  2 V 2.27-2.28
S 0.5000 0.5001 0.2500  2 V 2.24
S 0.0000 0.9999 0.2500  2 V 2.24
S 0.3717 0.8184 0.9999  2 V 2.27-2.28
S 0.6283 0.1816 0.4999  2 V 2.27-2.28
V 0.4366 0.3723 0.5000  4 S 2.24-2.28
V 0.5634 0.6278 0.0000  4 S 2.24-2.28
Cs 0.3903 0.8607 0.4999  5 S 3.49-3.69
V 0.9366 0.1278 0.5000  4 S 2.24-2.28
Cs 0.6097 0.1393 0.9999  5 S 3.49-3.69
Cs 0.8903 0.6393 0.4999  5 S 3.49-3.69
Cs 0.1097 0.3607 0.9999  5 S 3.49-3.69
S 0.1283 0.3184 0.4999  2 V 2.27-2.28

Calculated values
- Final energy: -5.5515 eV/atom
- Crystal system: orthorhombic
- Formation energy without anion corrections: -995 meV per atom
- Magnetic moment: 2.01 μB/f.u.



No. 2
Below is a relaxed MgAg2Ir crystal, with properties calculated at the PBE level.

Lattice parameters (Å, degrees): 3.8565 3.8565 10.2118 79.12 79.12 90.00
Last column: nearest neighbours and their distance in Å.
Fractional positions:
Ag 0.8750 0.8791 0.7500  4 Ag 2.70-2.75, 2 Ir 2.81, 2 Mg 2.82
Ir 0.0000 0.0000 0.0000  4 Mg 2.73, 4 Ag 2.81
Mg 0.2500 0.7500 0.5000  4 Ir 2.73, 4 Ag 2.82
Ag 0.1209 0.6250 0.2500  4 Ag 2.70-2.75, 2 Ir 2.81, 2 Mg 2.82
Ag 0.3750 0.3709 0.7500  4 Ag 2.70-2.75, 2 Ir 2.81, 2 Mg 2.82
Mg 0.5000 0.5000 0.0000  4 Ir 2.73, 4 Ag 2.82
Ir 0.7500 0.2500 0.5000  4 Mg 2.73, 4 Ag 2.81
Ag 0.6291 0.1250 0.2500  4 Ag 2.70-2.75, 2 Ir 2.81, 2 Mg 2.82

Calculated values
- Final energy: -3.7026 eV/atom
- Crystal system: tetragonal
- Magnetic moment: 0.00 μB/f.u.